# 1
# LiNdMnC | Alexandria via LeMat-Bulk | GGA-PBE | relaxed
# DFT formation energy: -0.05 eV/atom
data_LiNdMnC
_cell_length_a 3.437
_cell_length_b 3.437
_cell_length_c 11.214
_cell_angle_alpha 90.00
_cell_angle_beta 90.00
_cell_angle_gamma 90.00
_symmetry_space_group_name_H-M 'P 4/n m m'
_symmetry_Int_Tables_number 129
loop_
_symmetry_equiv_pos_as_xyz
'x,y,z'
'-x,-y,-z'
'-y+1/2,x,z'
'y+1/2,-x,-z'
'-x+1/2,-y+1/2,z'
'x+1/2,y+1/2,-z'
'y,-x+1/2,z'
'-y,x+1/2,-z'
'x+1/2,-y,-z'
'-x+1/2,y,z'
'-y,-x,-z'
'y,x,z'
'-x,y+1/2,-z'
'x,-y+1/2,z'
'y+1/2,x+1/2,-z'
'-y+1/2,-x+1/2,z'
loop_
_atom_site_label
_atom_site_type_symbol
_atom_site_fract_x
_atom_site_fract_y
_atom_site_fract_z
Li1 Li 0.250 0.750 0.000
Nd1 Nd 0.250 0.250 0.275
Mn1 Mn 0.250 0.750 0.500
C1 C 0.250 0.250 0.597

---

# 2
# LiMnNi2C | Alexandria via LeMat-Bulk | GGA-PBE | relaxed
# DFT formation energy: 0.01 eV/atom
data_LiMnNi2C
_cell_length_a 3.786
_cell_length_b 3.786
_cell_length_c 3.807
_cell_angle_alpha 90.00
_cell_angle_beta 90.00
_cell_angle_gamma 90.00
_symmetry_space_group_name_H-M 'P 4/m m m'
_symmetry_Int_Tables_number 123
_symmetry_space_group_name_Hall '-P 4 2'
loop_
_atom_site_label
_atom_site_type_symbol
_atom_site_fract_x
_atom_site_fract_y
_atom_site_fract_z
Li1 Li 0.000 0.000 0.000
Mn1 Mn 0.500 0.500 0.000
Ni1 Ni 0.000 0.500 0.500
C1 C 0.500 0.500 0.500